No. 1
TmPaTlPd | PBE | relaxed

Structure (CIF):
```
data_TmPaTlPd
_chemical_formula_sum 'Tm4 Pa4 Tl4 Pd4'
_cell_length_a 7.298
_cell_length_b 7.298
_cell_length_c 7.298
_cell_angle_alpha 90.00
_cell_angle_beta 90.00
_cell_angle_gamma 90.00
_space_group_name_H-M_alt 'F -4 3 m'
_space_group_IT_number 216
_space_group_name_Hall 'F -4 2 3'
loop_
_atom_site_label
_atom_site_type_symbol
_atom_site_fract_x
_atom_site_fract_y
_atom_site_fract_z
Tm1 Tm 0.000 0.000 0.000
Pa1 Pa 0.000 0.000 0.500
Tl1 Tl 0.250 0.250 0.250
Pd1 Pd 0.250 0.250 0.750
```

Computed properties:
The final energy comes out at -5.526 eV/atom. The magnetic moment comes out at 4.65 Bohr magnetons per cell. The energy of formation comes out at -144.7 meV per atom. The value obtained for the volume is 24.29 Å³/atom. The value obtained for the density of states at the Fermi level is 7.4 states/eV/f.u.

***

No. 2
Li4PrEu | PBE | relaxed

Structure (CIF):
```
data_Li4PrEu
_chemical_formula_sum 'Li16 Pr4 Eu4'
_cell_length_a 8.598
_cell_length_b 8.598
_cell_length_c 8.598
_cell_angle_alpha 90.00
_cell_angle_beta 90.00
_cell_angle_gamma 90.00
_space_group_name_H-M_alt 'F -4 3 m'
_space_group_IT_number 216
_space_group_name_Hall 'F -4 2 3'
loop_
_atom_site_label
_atom_site_type_symbol
_atom_site_fract_x
_atom_site_fract_y
_atom_site_fract_z
Li1 Li 0.125 0.125 0.125
Pr1 Pr 0.000 0.000 0.500
Eu1 Eu 0.250 0.250 0.750
```

Computed properties:
The final energy comes out at -3.706 eV/atom. The magnetic moment comes out at 32.65 Bohr magnetons per cell. The energy of formation comes out at 79.4 meV per atom. The value obtained for the volume is 26.49 Å³/atom. The value obtained for the density of states at the Fermi level is 5.2 states/eV/f.u.

***

No. 3
PrSc2Ta | PBE | relaxed

Structure (CIF):
```
data_PrSc2Ta
_chemical_formula_sum 'Pr3 Sc6 Ta3'
_cell_length_a 3.1851
_cell_length_b 3.1851
_cell_length_c 33.9715
_cell_angle_alpha 90.00
_cell_angle_beta 90.00
_cell_angle_gamma 120.00
_space_group_name_H-M_alt 'R -3 m'
_space_group_IT_number 166
_space_group_name_Hall '-R 3 2"'
loop_
_atom_site_label
_atom_site_type_symbol
_atom_site_fract_x
_atom_site_fract_y
_atom_site_fract_z
Pr1 Pr 0.0000 0.0000 0.0000
Sc1 Sc 0.0000 0.0000 0.0966
Ta1 Ta 0.0000 0.0000 0.5000
```

Computed properties:
The final energy comes out at -7.052 eV/atom. The magnetic moment comes out at 0.00 Bohr magnetons per cell. The energy of formation comes out at 271.7 meV per atom. The value obtained for the volume is 24.87 Å³/atom. The value obtained for the density of states at the Fermi level is 6.3 states/eV/f.u.

***

No. 4
PuCl2 | PBE | relaxed

Structure (CIF):
```
data_PuCl2
_chemical_formula_sum 'Pu4 Cl8'
_cell_length_a 6.864
_cell_length_b 6.864
_cell_length_c 6.864
_cell_angle_alpha 90.00
_cell_angle_beta 90.00
_cell_angle_gamma 90.00
_space_group_name_H-M_alt 'F m -3 m'
_space_group_IT_number 225
_space_group_name_Hall '-F 4 2 3'
loop_
_atom_site_label
_atom_site_type_symbol
_atom_site_fract_x
_atom_site_fract_y
_atom_site_fract_z
Pu1 Pu 0.000 0.000 0.000
Cl1 Cl 0.250 0.250 0.250
```

Computed properties:
The final energy comes out at -7.740 eV/atom. The magnetic moment comes out at 24.00 Bohr magnetons per cell. The raw formation energy comes out at -1732 meV/atom. The value obtained for the volume is 26.95 Å³/atom. The value obtained for the density of states at the Fermi level is 8.2 states/eV/f.u.

***

No. 5
DyTm5Bi2 | PBE | relaxed

Structure (CIF):
```
data_DyTm5Bi2
_chemical_formula_sum 'Dy2 Tm10 Bi4'
_cell_length_a 3.989
_cell_length_b 10.047
_cell_length_c 12.052
_cell_angle_alpha 90.00
_cell_angle_beta 90.00
_cell_angle_gamma 90.00
_space_group_name_H-M_alt 'I m m m'
_space_group_IT_number 71
_space_group_name_Hall '-I 2 2'
loop_
_atom_site_label
_atom_site_type_symbol
_atom_site_fract_x
_atom_site_fract_y
_atom_site_fract_z
Dy1 Dy 0.000 0.000 0.000
Tm1 Tm 0.000 0.207 0.360
Tm2 Tm 0.000 0.500 0.000
Bi1 Bi 0.000 0.500 0.273
```

Computed properties:
The final energy comes out at -4.587 eV/atom. The magnetic moment comes out at 0.00 Bohr magnetons per cell. The energy of formation comes out at -247.1 meV per atom. The value obtained for the volume is 30.18 Å³/atom. The value obtained for the density of states at the Fermi level is 10.6 states/eV/f.u.

***

No. 6
Pm5ErSn3 | PBE | relaxed

Structure (CIF):
```
data_Pm5ErSn3
_chemical_formula_sum 'Pm10 Er2 Sn6'
_cell_length_a 9.5451
_cell_length_b 9.5451
_cell_length_c 6.6946
_cell_angle_alpha 90.00
_cell_angle_beta 90.00
_cell_angle_gamma 120.00
_space_group_name_H-M_alt 'P 63/m c m'
_space_group_IT_number 193
_space_group_name_Hall '-P 6c 2'
loop_
_atom_site_label
_atom_site_type_symbol
_atom_site_fract_x
_atom_site_fract_y
_atom_site_fract_z
Pm1 Pm 0.0000 0.3303 0.2500
Pm2 Pm 0.3333 0.6667 0.0000
Er1 Er 0.0000 0.0000 0.0000
Sn1 Sn 0.0000 0.3340 0.7500
```

Computed properties:
The final energy comes out at -5.039 eV/atom. The magnetic moment comes out at 5.25 Bohr magnetons per cell. The energy of formation comes out at -558.2 meV per atom. The value obtained for the volume is 29.35 Å³/atom. The value obtained for the density of states at the Fermi level is 9.7 states/eV/f.u.

***

No. 7
BaSbTe4 | PBE | relaxed

Structure (CIF):
```
data_BaSbTe4
_chemical_formula_sum 'Ba4 Sb4 Te16'
_cell_length_a 15.583
_cell_length_b 5.992
_cell_length_c 10.655
_cell_angle_alpha 90.00
_cell_angle_beta 95.94
_cell_angle_gamma 90.00
_space_group_name_H-M_alt 'C 1 2/c 1'
_space_group_IT_number 15
_space_group_name_Hall '-C 2yc'
loop_
_atom_site_label
_atom_site_type_symbol
_atom_site_fract_x
_atom_site_fract_y
_atom_site_fract_z
Ba1 Ba 0.000 0.168 0.250
Sb1 Sb 0.250 0.250 0.000
Te1 Te 0.058 0.346 0.947
Te2 Te 0.229 0.025 0.255
```

Computed properties:
The final energy comes out at -3.616 eV/atom. The magnetic moment comes out at 0.00 Bohr magnetons per cell. The raw formation energy comes out at -514 meV/atom. The value obtained for the volume is 41.23 Å³/atom. The value obtained for the density of states at the Fermi level is 2.0 states/eV/f.u. The calculation puts the energy above the most stable polymorph in this dataset at 0 meV/atom.

***

No. 8
Sr2PrReO8 | PBE | relaxed

Structure (CIF):
```
data_Sr2PrReO8
_chemical_formula_sum 'Sr2 Pr1 Re1 O8'
_cell_length_a 4.501
_cell_length_b 5.505
_cell_length_c 6.814
_cell_angle_alpha 89.87
_cell_angle_beta 70.80
_cell_angle_gamma 89.76
_space_group_name_H-M_alt 'P -1'
_space_group_IT_number 2
_space_group_name_Hall '-P 1'
loop_
_atom_site_label
_atom_site_type_symbol
_atom_site_fract_x
_atom_site_fract_y
_atom_site_fract_z
Sr1 Sr 0.124 0.002 0.206
Pr1 Pr 0.500 0.500 0.500
Re1 Re 0.500 0.500 0.000
O1 O 0.148 0.504 0.268
O2 O 0.313 0.266 0.879
O3 O 0.328 0.745 0.878
O4 O 0.348 0.961 0.493
```

Computed properties:
The final energy comes out at -7.247 eV/atom. The magnetic moment comes out at 0.00 Bohr magnetons per cell. The raw formation energy comes out at -2225 meV/atom. The value obtained for the volume is 13.29 Å³/atom.

***

No. 9
PmHfTh2 | PBE | relaxed

Structure (CIF):
```
data_PmHfTh2
_chemical_formula_sum 'Pm4 Hf4 Th8'
_cell_length_a 7.783
_cell_length_b 7.783
_cell_length_c 7.783
_cell_angle_alpha 90.00
_cell_angle_beta 90.00
_cell_angle_gamma 90.00
_space_group_name_H-M_alt 'F m -3 m'
_space_group_IT_number 225
_space_group_name_Hall '-F 4 2 3'
loop_
_atom_site_label
_atom_site_type_symbol
_atom_site_fract_x
_atom_site_fract_y
_atom_site_fract_z
Pm1 Pm 0.000 0.000 0.000
Hf1 Hf 0.000 0.000 0.500
Th1 Th 0.250 0.250 0.250
```

Computed properties:
The final energy comes out at -7.172 eV/atom. The magnetic moment comes out at 0.00 Bohr magnetons per cell. The energy of formation comes out at 213.7 meV per atom. The value obtained for the volume is 29.46 Å³/atom. The value obtained for the density of states at the Fermi level is 5.4 states/eV/f.u. The calculation puts the energy above the most stable polymorph in this dataset at 91 meV/atom.

***

No. 10
BaAgH8Pd2 | PBE | relaxed

Structure (CIF):
```
data_BaAgH8Pd2
_chemical_formula_sum 'Ba3 Ag3 H24 Pd6'
_cell_length_a 4.9923
_cell_length_b 4.9923
_cell_length_c 18.3303
_cell_angle_alpha 90.00
_cell_angle_beta 90.00
_cell_angle_gamma 120.00
_space_group_name_H-M_alt 'R -3'
_space_group_IT_number 148
_space_group_name_Hall '-R 3'
loop_
_atom_site_label
_atom_site_type_symbol
_atom_site_fract_x
_atom_site_fract_y
_atom_site_fract_z
Ba1 Ba 0.0000 0.0000 0.0000
Ag1 Ag 0.0000 0.0000 0.5000
H1 H 0.0000 0.0000 0.2934
H2 H 0.0056 0.7059 0.8783
Pd1 Pd 0.0000 0.0000 0.2002
```

Computed properties:
The final energy comes out at -3.549 eV/atom. The magnetic moment comes out at 0.00 Bohr magnetons per cell. The value obtained for the volume is 10.99 Å³/atom. The value obtained for the density of states at the Fermi level is 2.5 states/eV/f.u.

***

No. 11
AlSnMo3 | PBE | relaxed

Structure (CIF):
```
data_AlSnMo3
_chemical_formula_sum 'Al1 Sn1 Mo3'
_cell_length_a 4.877
_cell_length_b 4.877
_cell_length_c 4.877
_cell_angle_alpha 90.00
_cell_angle_beta 90.00
_cell_angle_gamma 90.00
_space_group_name_H-M_alt 'P m -3 m'
_space_group_IT_number 221
_space_group_name_Hall '-P 4 2 3'
loop_
_atom_site_label
_atom_site_type_symbol
_atom_site_fract_x
_atom_site_fract_y
_atom_site_fract_z
Al1 Al 0.000 0.000 0.000
Sn1 Sn 0.500 0.500 0.500
Mo1 Mo 0.000 0.500 0.500
```

Computed properties:
The final energy comes out at -5.954 eV/atom. The magnetic moment comes out at 0.00 Bohr magnetons per cell. The energy of formation comes out at 2093.3 meV per atom. The value obtained for the volume is 23.19 Å³/atom. The value obtained for the density of states at the Fermi level is 6.2 states/eV/f.u. The calculation puts the energy above the most stable polymorph in this dataset at 840 meV/atom.

***

No. 12
Sb2Au2Cl | PBE | relaxed

Structure (CIF):
```
data_Sb2Au2Cl
_chemical_formula_sum 'Sb4 Au4 Cl2'
_cell_length_a 5.133
_cell_length_b 5.133
_cell_length_c 9.873
_cell_angle_alpha 90.00
_cell_angle_beta 90.00
_cell_angle_gamma 90.00
_space_group_name_H-M_alt 'I 4/m m m'
_space_group_IT_number 139
_space_group_name_Hall '-I 4 2'
loop_
_atom_site_label
_atom_site_type_symbol
_atom_site_fract_x
_atom_site_fract_y
_atom_site_fract_z
Sb1 Sb 0.000 0.500 0.250
Au1 Au 0.000 0.000 0.143
Cl1 Cl 0.000 0.000 0.500
```

Computed properties:
The final energy comes out at -3.305 eV/atom. The magnetic moment comes out at 0.00 Bohr magnetons per cell. The raw formation energy comes out at 24 meV/atom. The value obtained for the volume is 26.02 Å³/atom. The value obtained for the density of states at the Fermi level is 7.0 states/eV/f.u. The calculation puts the energy above the most stable polymorph in this dataset at 68 meV/atom.